A relaxed Cu2Re3 crystal. Source: Alexandria, functional PBE-GGA.

The space group is R-3m (No. 166, hexagonal axes) and the conventional cell measures 2.7300, 2.7300 and 32.9761 Å, with angles of 90.00, 90.00 and 120.00 degrees. The asymmetric unit holds Cu at (0.0000, 0.0000, 0.1008), Re at (0.0000, 0.0000, 0.3008) and Re at (0.0000, 0.0000, 0.5000).

The magnetization comes out at 1.786 Bohr magnetons per cell. The value obtained for the density is 16.0 g cm⁻³. The calculation puts the density of states at the Fermi level at 1.163 states/eV/atom. The calculation puts the distance to the lowest polymorph of the same formula at 0.000 eV/atom.

=====

A relaxed CuRe2 crystal. Source: Alexandria, functional PBE-GGA.

The space group is P6_3/mmc (No. 194) and the conventional cell measures 4.3074, 4.3074 and 5.2363 Å, with angles of 90.00, 90.00 and 120.00 degrees. The asymmetric unit holds Cu at (0.3333, 0.6667, 0.2500), Re at (0.0000, 0.0000, 0.0000) and Re at (0.3333, 0.6667, 0.7500).

The magnetization comes out at 0.000 Bohr magnetons per cell. The value obtained for the density is 17.2 g cm⁻³. The calculation puts the density of states at the Fermi level at 1.408 states/eV/atom. The calculation puts the distance to the lowest polymorph of the same formula at 0.312 eV/atom.

=====

A relaxed CuRe2 crystal. Source: Alexandria, functional PBE-GGA.

The space group is Cmcm (No. 63) and the conventional cell measures 2.724, 14.378 and 4.378 Å, with angles of 90.00, 90.00 and 90.00 degrees. The asymmetric unit holds Cu at (0.000, 0.226, 0.250), Re at (0.000, 0.113, 0.750) and Re at (0.000, 0.444, 0.750).

The magnetization comes out at 0.000 Bohr magnetons per cell. The value obtained for the density is 16.9 g cm⁻³. The calculation puts the density of states at the Fermi level at 0.845 states/eV/atom. The calculation puts the distance to the lowest polymorph of the same formula at 0.061 eV/atom.

=====

A relaxed CuRe2 crystal. Source: Alexandria, functional PBE-GGA.

The space group is Pa-3 (No. 205) and the conventional cell measures 5.787, 5.787 and 5.787 Å, with angles of 90.00, 90.00 and 90.00 degrees. The asymmetric unit holds Cu at (0.000, 0.000, 0.000) and Re at (0.117, 0.617, 0.883).

The magnetization comes out at 0.000 Bohr magnetons per cell. The value obtained for the density is 14.9 g cm⁻³. The calculation puts the density of states at the Fermi level at 1.176 states/eV/atom. The calculation puts the distance to the lowest polymorph of the same formula at 1.201 eV/atom.

=====

A relaxed CuRe crystal. Source: Alexandria, functional PBE-GGA.

The space group is I-43m (No. 217) and the conventional cell measures 7.641, 7.641 and 7.641 Å, with angles of 90.00, 90.00 and 90.00 degrees. The asymmetric unit holds Cu at (0.199, 0.199, 0.199) and Re at (0.116, 0.116, 0.884).

The magnetization comes out at 5.675 Bohr magnetons per cell. The value obtained for the density is 7.4 g cm⁻³. The calculation puts the density of states at the Fermi level at 1.554 states/eV/atom. The calculation puts the distance to the lowest polymorph of the same formula at 1.806 eV/atom.

=====

A relaxed CuRe crystal. Source: Alexandria, functional PBE-GGA.

The space group is Pmmn (No. 59, origin choice 2) and the conventional cell measures 2.640, 4.356 and 4.793 Å, with angles of 90.00, 90.00 and 90.00 degrees. The asymmetric unit holds Cu at (0.250, 0.250, 0.074) and Re at (0.250, 0.750, 0.412).

The magnetization comes out at 0.000 Bohr magnetons per cell. The value obtained for the density is 15.0 g cm⁻³. The calculation puts the density of states at the Fermi level at 0.620 states/eV/atom. The calculation puts the distance to the lowest polymorph of the same formula at 0.113 eV/atom.

=====

A relaxed Cu3Re5 crystal. Source: Alexandria, functional PBE-GGA.

The space group is P6_3/mcm (No. 193) and the conventional cell measures 7.2511, 7.2511 and 4.8839 Å, with angles of 90.00, 90.00 and 120.00 degrees. The asymmetric unit holds Cu at (0.0000, 0.4033, 0.2500), Re at (0.0000, 0.2248, 0.7500) and Re at (0.3333, 0.6667, 0.0000).

The magnetization comes out at 0.000 Bohr magnetons per cell. The value obtained for the density is 16.8 g cm⁻³. The calculation puts the density of states at the Fermi level at 0.521 states/eV/atom. The calculation puts the distance to the lowest polymorph of the same formula at 0.155 eV/atom.

=====

A relaxed CuRe crystal. Source: Alexandria, functional PBE-GGA.

The space group is R-3m (No. 166, hexagonal axes) and the conventional cell measures 2.6723, 2.6723 and 13.3393 Å, with angles of 90.00, 90.00 and 120.00 degrees. The asymmetric unit holds Cu at (0.0000, 0.0000, 0.0000) and Re at (0.0000, 0.0000, 0.5000).

The magnetization comes out at 0.000 Bohr magnetons per cell. The value obtained for the density is 15.1 g cm⁻³. The calculation puts the density of states at the Fermi level at 0.648 states/eV/atom. The calculation puts the distance to the lowest polymorph of the same formula at 0.152 eV/atom.

=====

A relaxed CuRe4 crystal. Source: Alexandria, functional PBE-GGA.

The space group is Pm-3m (No. 221) and the conventional cell measures 4.370, 4.370 and 4.370 Å, with angles of 90.00, 90.00 and 90.00 degrees. The asymmetric unit holds Cu at (0.000, 0.000, 0.000), Re at (0.000, 0.000, 0.500) and Re at (0.500, 0.500, 0.500).

The magnetization comes out at 0.000 Bohr magnetons per cell. The value obtained for the density is 16.1 g cm⁻³. The calculation puts the density of states at the Fermi level at 1.131 states/eV/atom. The calculation puts the distance to the lowest polymorph of the same formula at 1.857 eV/atom.

=====

A relaxed CuRe crystal. Source: Alexandria, functional PBE-GGA.

The space group is P4_2/mnm (No. 136) and the conventional cell measures 8.150, 8.150 and 2.479 Å, with angles of 90.00, 90.00 and 90.00 degrees. The asymmetric unit holds Cu at (0.197, 0.197, 0.000) and Re at (0.105, 0.895, 0.000).

The magnetization comes out at 0.000 Bohr magnetons per cell. The value obtained for the density is 10.1 g cm⁻³. The calculation puts the density of states at the Fermi level at 0.468 states/eV/atom. The calculation puts the distance to the lowest polymorph of the same formula at 0.989 eV/atom.

=====

A relaxed CuRe2 crystal. Source: Alexandria, functional PBE-GGA.

The space group is Imma (No. 74) and the conventional cell measures 2.532, 4.230 and 17.878 Å, with angles of 90.00, 90.00 and 90.00 degrees. The asymmetric unit holds Cu at (0.000, 0.250, 0.123), Re at (0.000, 0.250, 0.539) and Re at (0.000, 0.250, 0.683).

The magnetization comes out at 0.000 Bohr magnetons per cell. The value obtained for the density is 15.1 g cm⁻³. The calculation puts the density of states at the Fermi level at 0.619 states/eV/atom. The calculation puts the distance to the lowest polymorph of the same formula at 0.587 eV/atom.

=====

A relaxed CuRe crystal. Source: Alexandria, functional PBE-GGA.

The space group is F-43m (No. 216) and the conventional cell measures 5.361, 5.361 and 5.361 Å, with angles of 90.00, 90.00 and 90.00 degrees. The asymmetric unit holds Cu at (0.000, 0.000, 0.000) and Re at (0.250, 0.250, 0.750).

The magnetization comes out at 0.000 Bohr magnetons per cell. The value obtained for the density is 10.8 g cm⁻³. The calculation puts the density of states at the Fermi level at 0.386 states/eV/atom. The calculation puts the distance to the lowest polymorph of the same formula at 2.190 eV/atom.

=====

A relaxed CuRe5 crystal. Source: Alexandria, functional PBE-GGA.

The space group is P6/mmm (No. 191) and the conventional cell measures 5.0512, 5.0512 and 4.5885 Å, with angles of 90.00, 90.00 and 120.00 degrees. The asymmetric unit holds Cu at (0.0000, 0.0000, 0.0000), Re at (0.0000, 0.5000, 0.5000) and Re at (0.3333, 0.6667, 0.0000).

The magnetization comes out at 0.000 Bohr magnetons per cell. The value obtained for the density is 16.3 g cm⁻³. The calculation puts the density of states at the Fermi level at 0.679 states/eV/atom. The calculation puts the distance to the lowest polymorph of the same formula at 0.590 eV/atom.